Entry from the Alexandria database: K2V2PbO7 after structural relaxation (PBE+U). Values from VASP.

## Properties
The calculated volume is 261.1 Å³ per cell. The crystal system is trigonal. As for the electronic total energy: -6.4760 eV per atom.

Structure (Quantum ESPRESSO input):
```
&SYSTEM
  ibrav = 0, nat = 12, ntyp = 4
/
ATOMIC_SPECIES
K 39.10 K.upf
V 50.94 V.upf
Pb 207.20 Pb.upf
O 16.00 O.upf
CELL_PARAMETERS angstrom
-5.2900 1.2641 3.0865
-2.0459 -3.9106 4.4306
1.5772 3.0157 7.8036
ATOMIC_POSITIONS angstrom
K -4.5454 0.0576 11.1924
K -1.2133 0.3116 4.1283
V -6.3897 -1.7297 8.7633
V 0.6311 2.0988 6.5574
Pb -2.8793 0.1846 7.6604
O -2.1478 -1.9918 6.6054
O -3.5416 1.0900 5.3962
O -5.2081 -0.7339 8.0035
O -0.9389 1.7225 7.1563
O -3.8557 1.8929 9.2456
O 0.0000 0.0000 0.0000
O -1.5839 -0.8722 9.5551
```